A relaxed structure of SmZn2Cd, computed with PBE.

Unit cell a=4.8692 b=4.8692 c=4.8692 alpha=60.00 beta=60.00 gamma=60.00
Fractional coordinates of all 4 atoms:
Sm  0.0000  0.0000  0.0000
Cd  0.5000  0.5000  0.5000
Zn  0.7500  0.7500  0.7500
Zn  0.2500  0.2500  0.2500

The calculation puts the energy relative to the lowest polymorph listed for this composition at 0.000 eV/atom.

A relaxed structure of Sm6ZnCd2, computed with PBE.

Unit cell a=5.1443 b=7.3981 c=8.9223 alpha=114.49 beta=106.43 gamma=90.00
Fractional coordinates of all 9 atoms:
Sm  0.8381  0.0805  0.6743
Sm  0.8381  0.5938  0.6743
Sm  0.1619  0.9195  0.3257
Sm  0.5000  0.2361  0.0000
Sm  0.1619  0.4062  0.3257
Sm  0.5000  0.7639  0.0000
Cd  0.6646  0.6656  0.3312
Cd  0.3354  0.3344  0.6688
Zn  0.0000  0.0000  0.0000

Number 1: calculated formation energy -1.28 eV per formula unit. Number 2: calculated formation energy 0.68 eV per formula unit.